No. 1
## NaTbTlAu (PBE)

Data for a geometry-optimized NaTbTlAu structure.

The space group is F-43m (No. 216) and the conventional cell measures 7.276, 7.276 and 7.276 Å, with angles of 90.00, 90.00 and 90.00 degrees. The asymmetric unit holds Na at (0.000, 0.000, 0.000), Tb at (0.000, 0.000, 0.500), Tl at (0.250, 0.250, 0.250) and Au at (0.250, 0.250, 0.750).

The electronic total energy comes out at -3.269 eV per atom. The calculated density is 10.06 g cm⁻³. As for the energy of formation from the pure elements: -8.6 kcal/mol of atoms. Its magnetization is 0.000 μB/atom.

No. 2
## Th2GaAu (PBE)

Data for a geometry-optimized Th2GaAu structure.

The space group is P2_1/m (No. 11) and the conventional cell measures 6.111, 4.277 and 8.568 Å, with angles of 90.00, 110.66 and 90.00 degrees. The asymmetric unit holds Th at (0.206, 0.250, 0.417), Th at (0.209, 0.250, 0.934), Ga at (0.335, 0.750, 0.708) and Au at (0.364, 0.750, 0.216).

The electronic total energy comes out at -5.815 eV per atom. The calculated density is 11.58 g cm⁻³. As for the energy of formation from the pure elements: -12.2 kcal/mol of atoms. Its magnetization is 0.000 μB/atom.

No. 3
## NbFe2Pb (PBE)

Data for a geometry-optimized NbFe2Pb structure.

The space group is I-42d (No. 122) and the conventional cell measures 7.198, 7.198 and 5.619 Å, with angles of 90.00, 90.00 and 90.00 degrees. The asymmetric unit holds Nb at (0.000, 0.000, 0.000), Fe at (0.223, 0.250, 0.125) and Pb at (0.000, 0.000, 0.500).

The electronic total energy comes out at -6.900 eV per atom. The calculated density is 9.40 g cm⁻³. As for the energy of formation from the pure elements: 17.9 kcal/mol of atoms. Its magnetization is 1.027 μB/atom.